Record 1
RhBrN | PBE-GGA | optimized geometry

Formation energy from raw total energies in eV per atom: 0.19
Magnetization in μB per formula unit: 0.00
Theoretical density in Mg/m³: 6.37

a b c (Å): 5.7313 3.3087 10.8208
angles (deg): 90.00 90.90 90.00
Last column: nearest neighbours and their distance in Å.
Space group C2/m (No. 12)
Symmetry-distinct sites (fractional):
Rh  0.1623  0.0000  0.3504 (multiplicity 4)  3 N 2.14
Br  0.1759  0.0000  0.8138 (multiplicity 4)  3 Rh 2.61
N  0.0018  0.5000  0.5615 (multiplicity 4)  1 N 1.33

Record 2
AgSnS2N | PBE-GGA | optimized geometry

DOS at the Fermi energy in states/eV per cell: 3.45
Formation energy from raw total energies in eV per atom: 0.85
Magnetization in μB per formula unit: 1.85
Theoretical density in Mg/m³: 4.73
ΔE to the lowest computed polymorph in meV/atom: 0

a b c (Å): 5.0867 5.0867 4.1348
angles (deg): 90.00 90.00 90.00
Last column: nearest neighbours and their distance in Å.
Space group P4/mmm (No. 123)
Symmetry-distinct sites (fractional):
Ag  0.0000  0.0000  0.0000 (multiplicity 1)  8 S 3.28, 4 N 3.60
Sn  0.5000  0.5000  0.5000 (multiplicity 1)  2 N 2.07
S  0.0000  0.5000  0.5000 (multiplicity 2)  2 Sn 2.54
N  0.5000  0.5000  0.0000 (multiplicity 1)  2 Sn 2.07

Record 3
La2Nd13 | PBE-GGA | optimized geometry

DOS at the Fermi energy in states/eV per cell: 26.18
Magnetization in μB per formula unit: 0.00
Energy of formation from the pure elements in eV/f.u.: 0.2
Theoretical density in Mg/m³: 6.69

a b c (Å): 6.3976 8.2506 11.0914
angles (deg): 102.99 106.73 97.42
Last column: nearest neighbours and their distance in Å.
Space group P-1 (No. 2)
Symmetry-distinct sites (fractional):
La  0.0995  0.1999  0.4662 (multiplicity 2)  11 Nd 3.69-3.71, 1 La 3.69
Nd  0.0988  0.2000  0.1322 (multiplicity 2)  11 Nd 3.67-3.70, 1 La 3.70
Nd  0.1010  0.2002  0.8014 (multiplicity 2)  10 Nd 3.67-3.70, 2 La 3.70-3.71
Nd  0.2987  0.5998  0.3991 (multiplicity 2)  9 Nd 3.69-3.71, 3 La 3.69-3.70
Nd  0.3001  0.5994  0.0663 (multiplicity 2)  12 Nd 3.68-3.69
Nd  0.3022  0.6003  0.7344 (multiplicity 2)  10 Nd 3.68-3.71, 2 La 3.70
Nd  0.4986  0.9991  0.3324 (multiplicity 2)  9 Nd 3.69-3.71, 3 La 3.69-3.71
Nd  0.5000  0.0000  0.0000 (multiplicity 1)  12 Nd 3.68-3.69

Record 4
Se2SN2 | PBE-GGA | optimized geometry

DOS at the Fermi energy in states/eV per cell: 3.54
Formation energy from raw total energies in eV per atom: 1.55
Magnetization in μB per formula unit: 0.00
Theoretical density in Mg/m³: 3.71
ΔE to the lowest computed polymorph in meV/atom: 125

a b c (Å): 3.6588 3.6588 7.2836
angles (deg): 90.00 90.00 90.00
Last column: nearest neighbours and their distance in Å.
Space group P4/mmm (No. 123)
Symmetry-distinct sites (fractional):
Se  0.0000  0.0000  0.0000 (multiplicity 1)  4 S 2.59
Se  0.0000  0.0000  0.5000 (multiplicity 1)  4 N 1.83
S  0.5000  0.5000  0.0000 (multiplicity 1)  4 Se 2.59
N  0.0000  0.5000  0.5000 (multiplicity 2)  2 Se 1.83

Record 5
YH3Rh | PBE-GGA | optimized geometry

DOS at the Fermi energy in states/eV per cell: 5.48
Total DFT energy (no corrections) in eV per atom: -5.24
Magnetization in μB per formula unit: 0.00
Theoretical density in Mg/m³: 6.20

a b c (Å): 12.0848 3.5022 5.1059
angles (deg): 90.00 104.88 90.00
Last column: nearest neighbours and their distance in Å.
Space group C2/m (No. 12)
Symmetry-distinct sites (fractional):
Y  0.1133  0.0000  0.3114 (multiplicity 4)  6 H 2.21-2.42
H  0.0119  0.5000  0.7342 (multiplicity 4)  1 Rh 1.66
H  0.1921  0.0000  0.9216 (multiplicity 4)  3 Rh 1.82-1.91
H  0.1961  0.5000  0.5454 (multiplicity 4)  1 Rh 1.84
Rh  0.1526  0.5000  0.8655 (multiplicity 4)  4 H 1.66-1.84

Record 6
CaNbSn2F | PBE-GGA | optimized geometry

DOS at the Fermi energy in states/eV per cell: 4.21
Formation energy from raw total energies in eV per atom: -0.02
Magnetization in μB per formula unit: 0.00
Theoretical density in Mg/m³: 3.91

a b c (Å): 5.2770 5.2770 5.9391
angles (deg): 90.00 90.00 90.00
Last column: nearest neighbours and their distance in Å.
Space group P4/mmm (No. 123)
Symmetry-distinct sites (fractional):
Ca  0.0000  0.0000  0.0000 (multiplicity 1)  2 Nb 2.97
Nb  0.0000  0.0000  0.5000 (multiplicity 1)  4 Sn 2.64
Sn  0.0000  0.5000  0.5000 (multiplicity 2)  2 Nb 2.64
F  0.5000  0.5000  0.0000 (multiplicity 1)  4 Ca 3.73, 8 Sn 3.97

Record 7
Y3Ga4Au7 | PBE-GGA | optimized geometry

DOS at the Fermi energy in states/eV per cell: 13.20
Magnetization in μB per formula unit: 0.00
Energy of formation from the pure elements in eV/f.u.: -8.8
Theoretical density in Mg/m³: 11.44

a b c (Å): 16.3669 4.3926 9.3881
angles (deg): 90.00 124.11 90.00
Last column: nearest neighbours and their distance in Å.
Space group C2/m (No. 12)
Symmetry-distinct sites (fractional):
Y  0.0000  0.0000  0.0000 (multiplicity 2)  6 Ga 3.13-3.47, 6 Au 3.14-3.36
Y  0.1827  0.5000  0.6765 (multiplicity 4)  5 Ga 3.12-3.43, 10 Au 3.15-3.43
Ga  0.1254  0.0000  0.8420 (multiplicity 4)  6 Au 2.66-2.78
Ga  0.1755  0.5000  0.3044 (multiplicity 4)  5 Au 2.54-2.70
Au  0.0000  0.0000  0.5000 (multiplicity 2)  2 Ga 2.67, 2 Au 2.92
Au  0.0008  0.5000  0.2721 (multiplicity 4)  3 Ga 2.70-2.78, 3 Au 2.81-2.91
Au  0.1412  0.0000  0.4037 (multiplicity 4)  3 Ga 2.57-2.70
Au  0.1846  0.5000  0.0436 (multiplicity 4)  4 Ga 2.54-2.70, 1 Au 2.81

Record 8
RbNaO2F | PBE-GGA | optimized geometry

DOS at the Fermi energy in states/eV per cell: 2.72
Formation energy from raw total energies in eV per atom: -0.81
Magnetization in μB per formula unit: 3.00
Theoretical density in Mg/m³: 2.80

a b c (Å): 4.5727 4.5727 4.5153
angles (deg): 90.00 90.00 90.00
Last column: nearest neighbours and their distance in Å.
Space group P4/mmm (No. 123)
Symmetry-distinct sites (fractional):
Rb  0.0000  0.0000  0.0000 (multiplicity 1)  8 O 3.21, 4 F 3.23
Na  0.5000  0.5000  0.5000 (multiplicity 1)  2 F 2.26, 4 O 2.29
O  0.0000  0.5000  0.5000 (multiplicity 2)  2 Na 2.29
F  0.5000  0.5000  0.0000 (multiplicity 1)  2 Na 2.26

Record 9
Ce2Sm3ErAs6 | PBE-GGA | optimized geometry

DOS at the Fermi energy in states/eV per cell: 22.69
Magnetization in μB per formula unit: 1.20
Energy of formation from the pure elements in eV/f.u.: -17.9
Theoretical density in Mg/m³: 7.16

a b c (Å): 18.2647 4.1947 8.3877
angles (deg): 90.00 103.31 90.00
Last column: nearest neighbours and their distance in Å.
Space group C2/m (No. 12)
Symmetry-distinct sites (fractional):
Ce  0.1654  0.0000  0.3313 (multiplicity 4)  6 As 2.93-2.97
Sm  0.0000  0.5000  0.5000 (multiplicity 2)  6 As 2.98-3.00
Sm  0.1666  0.0000  0.8346 (multiplicity 4)  6 As 2.97-3.00
Er  0.0000  0.5000  0.0000 (multiplicity 2)  6 As 2.92-2.93
As  0.0004  0.0000  0.2446 (multiplicity 4)  2 Er 2.93, 1 Ce 2.93, 3 Sm 2.97-3.00
As  0.1645  0.5000  0.0839 (multiplicity 4)  1 Er 2.92, 2 Ce 2.95, 3 Sm 2.97-3.00
As  0.1674  0.5000  0.5820 (multiplicity 4)  3 Ce 2.96-2.97, 3 Sm 2.98

Record 10
Ca2CdW | PBE-GGA | optimized geometry

DOS at the Fermi energy in states/eV per cell: 3.05
Magnetization in μB per formula unit: 0.00
Energy of formation from the pure elements in eV/f.u.: 2.0
Theoretical density in Mg/m³: 6.62

a b c (Å): 3.0435 3.0435 10.1962
angles (deg): 90.00 90.00 90.00
Last column: nearest neighbours and their distance in Å.
Space group P4/mmm (No. 123)
Symmetry-distinct sites (fractional):
Ca  0.0000  0.0000  0.2350 (multiplicity 2)  4 Ca 3.04, 4 W 3.22
Cd  0.5000  0.5000  0.5000 (multiplicity 1)  4 Cd 3.04
W  0.5000  0.5000  0.0000 (multiplicity 1)  4 W 3.04, 8 Ca 3.22

Record 11
Lu2CdPd | PBE-GGA | optimized geometry

DOS at the Fermi energy in states/eV per cell: 6.09
Magnetization in μB per formula unit: 0.00
Energy of formation from the pure elements in eV/f.u.: -2.3
Theoretical density in Mg/m³: 10.56
ΔE to the lowest computed polymorph in meV/atom: 49

a b c (Å): 7.0981 7.0981 7.0981
angles (deg): 90.00 90.00 90.00
Last column: nearest neighbours and their distance in Å.
Space group Fm-3m (No. 225)
Symmetry-distinct sites (fractional):
Lu  0.2500  0.2500  0.2500 (multiplicity 8)  4 Cd 3.07, 4 Pd 3.07
Cd  0.0000  0.0000  0.0000 (multiplicity 4)  8 Lu 3.07
Pd  0.0000  0.0000  0.5000 (multiplicity 4)  8 Lu 3.07

Among the records above, which one has the highest magnetization? RbNaO2F

Among the records above, which one has the highest theoretical density? Y3Ga4Au7